# 1
A plane-wave DFT calculation with GGA-PBE was carried out for a geometry-optimized ReSn2BiMo structure.

abc: 5.2320 5.2320 5.2999
angles: 90.00 90.00 90.00
Element x y z (fractional)
Re (0.0000, 0.0000, 0.0000)
Sn (0.0000, 0.5000, 0.5000)
Sn (0.5000, 0.0000, 0.5000)
Bi (0.5000, 0.5000, 0.0000)
Mo (0.5000, 0.5000, 0.5000)

Computed properties:
Formation energy from the elements, eV/f.u.: 7.3

***

# 2
A plane-wave DFT calculation with GGA-PBE was carried out for a geometry-optimized ScSb4As structure.

abc: 6.1218 6.1218 6.1218
angles: 60.00 60.00 60.00
Element x y z (fractional)
Sc (0.0000, 0.0000, 0.0000)
Sb (0.3753, 0.3753, 0.3753)
Sb (0.3753, 0.3753, 0.8740)
Sb (0.3753, 0.8740, 0.3753)
Sb (0.8740, 0.3753, 0.3753)
As (0.7500, 0.7500, 0.7500)

Computed properties:
E_form (uncorrected), kJ per mole of atoms: 27.4

***

# 3
A plane-wave DFT calculation with GGA-PBE was carried out for a geometry-optimized CrMo5W4 structure.

abc: 3.1529 3.1529 15.7279
angles: 90.00 90.00 90.00
Element x y z (fractional)
Cr (0.0000, 0.0000, 0.0000)
Mo (0.5000, 0.5000, 0.0942)
Mo (0.5000, 0.5000, 0.2969)
Mo (0.5000, 0.5000, 0.5000)
Mo (0.5000, 0.5000, 0.7031)
Mo (0.5000, 0.5000, 0.9058)
W (0.0000, 0.0000, 0.1950)
W (0.0000, 0.0000, 0.3983)
W (0.0000, 0.0000, 0.6017)
W (0.0000, 0.0000, 0.8050)

Computed properties:
Formation energy from the elements, eV/f.u.: 0.2

***

How do the records compare in electronic total energy? In the order shown, they have -27.8 -25.8 -115.4 eV/cell.